## Sm2Fe2B2C (PBE)

Data for an optimized crystal structure of Sm2Fe2B2C.

Cell lengths 5.4606, 5.4606, 6.5675 Å; angles 123.87, 123.87, 38.91 degrees
With the nearest neighbours (Å) after each atom.
Sites, in units of the cell vectors:
Sm 0.0618 0.0618 0.3151  2 C 2.54, 1 B 2.83
Sm 0.9382 0.9382 0.6849  2 C 2.54, 1 B 2.83
Fe 0.2996 0.2996 0.9135  1 C 1.79
Fe 0.7004 0.7004 0.0865  1 C 1.79
B 0.2966 0.2966 0.2207  3 Fe 2.01-2.04
B 0.7034 0.7034 0.7793  3 Fe 2.01-2.04
C 0.5000 0.5000 0.0000  2 Fe 1.79

Computed properties:
- M_tot: 0.00 μB/f.u.
- N(E_F): 4.7 states/eV per cell
- ΔH_f (0 K): -0.37 eV per atom
- Total DFT energy (no corrections): -7.36 eV per atom


## TlCd2Os (PBE)

Data for an optimized crystal structure of TlCd2Os.

Cell lengths 3.0087, 4.9323, 5.3960 Å; angles 90.00, 90.00, 90.00 degrees
With the nearest neighbours (Å) after each atom.
Sites, in units of the cell vectors:
Tl 0.0000 0.0000 0.0000  8 Cd 2.97-3.21, 2 Os 2.99, 2 Tl 3.01
Cd 0.5000 0.0000 0.4744  4 Tl 2.97-3.21, 4 Cd 3.01, 4 Os 3.01
Cd 0.5000 0.5000 0.7943  4 Os 2.99-3.19, 4 Cd 3.01, 4 Tl 3.09
Os 0.0000 0.5000 0.3148  8 Cd 2.99-3.19, 2 Tl 2.99, 2 Os 3.01

Computed properties:
- M_tot: 0.72 μB/f.u.
- N(E_F): 2.8 states/eV per cell
- ΔH_f (0 K): 0.63 eV per atom
- Total DFT energy (no corrections): -3.22 eV per atom


## BaSc2Ni (PBE)

Data for an optimized crystal structure of BaSc2Ni.

Cell lengths 6.3698, 6.3698, 6.3698 Å; angles 148.79, 126.68, 63.08 degrees
With the nearest neighbours (Å) after each atom.
Sites, in units of the cell vectors:
Ba 0.0000 0.0000 0.0000  4 Ni 3.33, 2 Ba 3.43, 4 Sc 3.49
Sc 0.3162 0.8162 0.5000  2 Ni 2.63
Sc 0.6838 0.1838 0.5000  2 Ni 2.63
Ni 0.5000 0.5000 0.0000  4 Sc 2.63

Computed properties:
- M_tot: 0.00 μB/f.u.
- N(E_F): 5.6 states/eV per cell
- ΔH_f (0 K): 0.11 eV per atom
- Total DFT energy (no corrections): -4.99 eV per atom


## MnTlOs2 (PBE)

Data for an optimized crystal structure of MnTlOs2.

Cell lengths 4.8115, 4.8115, 4.9021 Å; angles 99.48, 99.48, 35.49 degrees
With the nearest neighbours (Å) after each atom.
Sites, in units of the cell vectors:
Mn 0.0000 0.0000 0.0000  5 Os 2.56-2.78, 1 Tl 2.75
Tl 0.7592 0.7592 0.2647  3 Mn 2.75-2.90, 7 Os 2.85-2.98, 2 Tl 2.93
Os 0.2548 0.2548 0.7621  5 Os 2.65-2.93, 3 Mn 2.77-2.78, 4 Tl 2.85-2.86
Os 0.5173 0.5173 0.5799  2 Mn 2.56, 3 Os 2.65-2.71

Computed properties:
- M_tot: 3.16 μB/f.u.
- N(E_F): 2.9 states/eV per cell
- ΔH_f (0 K): 0.66 eV per atom
- Total DFT energy (no corrections): -7.84 eV per atom